Entry 1:
Material: KCeB2O6
Method: DFT, PBE
State: relaxed

Output
N(E_F) = 0.473 states/eV/atom
formation energy without anion corrections = -2442 meV/atom
total magnetization = 3.42 Bohr magnetons per cell

a = 8.4024 Å, b = 10.0651 Å, c = 7.1774 Å
α = 90.00°, β = 109.38°, γ = 90.00°
Closest atoms and distances in Å follow each position.
Space group C2/c (No. 15)
Unique sites:
K (0.0000, 0.1262, 0.2500)  8 O 2.74-3.06
Ce (0.0000, 0.4008, 0.7500)  6 O 2.25-2.40
B (0.2295, 0.3757, 0.2409)  3 O 1.36-1.39
O (0.0765, 0.3799, 0.0857)  1 B 1.39
O (0.1736, 0.2362, 0.7247)  1 B 1.36
O (0.2340, 0.0140, 0.6414)  1 B 1.37

Entry 2:
Material: K3CeB2O6
Method: DFT, PBE
State: relaxed

Output
N(E_F) = 0.129 states/eV/atom
formation energy without anion corrections = -2430 meV/atom
total magnetization = 0.96 Bohr magnetons per cell

a = 5.6722 Å, b = 5.6722 Å, c = 7.0451 Å
α = 90.00°, β = 90.00°, γ = 120.00°
Closest atoms and distances in Å follow each position.
Space group P-3m1 (No. 164)
Unique sites:
K (0.0000, 0.0000, 0.0000)  6 O 2.78
K (0.3333, 0.6667, 0.7481)  6 O 2.86
Ce (0.0000, 0.0000, 0.5000)  6 O 2.38
B (0.3333, 0.6667, 0.2907)  3 O 1.40
O (0.1913, 0.3825, 0.2917)  1 B 1.40

Entry 3:
Material: K2CeB2S6
Method: DFT, PBE
State: relaxed

Output
N(E_F) = 0.030 states/eV/atom
formation energy without anion corrections = -1029 meV/atom
total magnetization = 0.23 Bohr magnetons per cell

a = 11.5364 Å, b = 6.7328 Å, c = 8.2362 Å
α = 90.00°, β = 118.76°, γ = 90.00°
Closest atoms and distances in Å follow each position.
Space group C2/m (No. 12)
Unique sites:
K (0.2030, 0.0000, 0.1872)  9 S 3.30-3.62
Ce (0.0000, 0.0000, 0.5000)  6 S 2.67-2.77
B (0.0611, 0.5000, 0.2813)  3 S 1.81-1.82
S (0.0324, 0.2689, 0.7725)  1 B 1.82
S (0.2382, 0.5000, 0.3684)  1 B 1.81

Entry 4:
Material: LaCe2B9
Method: DFT, PBE
State: relaxed

Output
N(E_F) = 0.211 states/eV/atom
ΔE_f = -205 meV per atom
total magnetization = 0.00 Bohr magnetons per cell

a = 4.4660 Å, b = 4.4660 Å, c = 28.9187 Å
α = 90.00°, β = 90.00°, γ = 120.00°
Closest atoms and distances in Å follow each position.
Space group R-3m (No. 166, hexagonal axes)
Unique sites:
La (0.0000, 0.0000, 0.0000)  18 B 2.97-3.33
Ce (0.0000, 0.0000, 0.1199)  12 B 2.73-2.92
B (0.0000, 0.0000, 0.4061)  3 B 1.65
B (0.0000, 0.0000, 0.5000)  2 B 2.72, 6 Ce 2.91
B (0.0914, 0.5457, 0.9332)  3 B 1.62-1.65

Entry 5:
Material: LaCeBN3
Method: DFT, PBE
State: relaxed

Output
N(E_F) = 0.955 states/eV/atom
formation energy without anion corrections = -1148 meV/atom
total magnetization = 1.67 Bohr magnetons per cell

a = 5.5674 Å, b = 5.5674 Å, c = 6.6472 Å
α = 90.00°, β = 90.00°, γ = 120.00°
Closest atoms and distances in Å follow each position.
Space group P6_3/mmc (No. 194)
Unique sites:
La (0.3333, 0.6667, 0.2500)  6 N 2.79
Ce (0.0000, 0.0000, 0.0000)  6 N 2.41
B (0.3333, 0.6667, 0.7500)  3 N 1.47
N (0.1813, 0.3625, 0.7500)  1 B 1.47

Entry 6:
Material: La3CeB2N6
Method: DFT, PBE
State: relaxed

Output
N(E_F) = 0.374 states/eV/atom
formation energy without anion corrections = -1173 meV/atom
total magnetization = 0.41 Bohr magnetons per cell

a = 5.7107 Å, b = 5.7107 Å, c = 6.5350 Å
α = 90.00°, β = 90.00°, γ = 120.00°
Closest atoms and distances in Å follow each position.
Space group P-3m1 (No. 164)
Unique sites:
La (0.0000, 0.0000, 0.0000)  6 N 2.59
La (0.3333, 0.6667, 0.6649)  1 B 2.72, 9 N 2.89-2.91
Ce (0.0000, 0.0000, 0.5000)  6 N 2.34
B (0.3333, 0.6667, 0.2493)  3 N 1.47
N (0.1864, 0.3728, 0.2787)  1 B 1.47

Entry 7:
Material: LaCeB4Rh6
Method: DFT, PBE
State: relaxed

Output
N(E_F) = 0.597 states/eV/atom
ΔE_f = -681 meV per atom
total magnetization = 0.55 Bohr magnetons per cell

a = 3.1417 Å, b = 5.4918 Å, c = 9.5137 Å
α = 90.00°, β = 90.00°, γ = 90.00°
Closest atoms and distances in Å follow each position.
Space group Pmmm (No. 47)
Unique sites:
La (0.0000, 0.0000, 0.0000)  2 La 3.14, 12 Rh 3.16-3.20, 6 B 3.17
Ce (0.0000, 0.5000, 0.5000)  12 Rh 3.13-3.16, 2 Ce 3.14, 6 B 3.17
B (0.0000, 0.0000, 0.3336)  6 Rh 2.23
B (0.0000, 0.5000, 0.1669)  6 Rh 2.23
Rh (0.5000, 0.0000, 0.5000)  4 B 2.23
Rh (0.5000, 0.2526, 0.2536)  4 B 2.23
Rh (0.5000, 0.5000, 0.0000)  4 B 2.23

Entry 8:
Material: LiCeB4
Method: DFT, PBE
State: relaxed

Output
N(E_F) = 0.396 states/eV/atom
ΔE_f = -369 meV per atom
total magnetization = 0.00 Bohr magnetons per cell

a = 5.9500 Å, b = 11.5019 Å, c = 3.7168 Å
α = 90.00°, β = 90.00°, γ = 90.00°
Closest atoms and distances in Å follow each position.
Space group Pbam (No. 55)
Unique sites:
Li (0.1289, 0.0850, 0.0000)  10 B 2.38-2.42, 1 Li 2.49
Ce (0.1256, 0.3498, 0.0000)  14 B 2.70-2.82
B (0.0272, 0.8070, 0.5000)  3 B 1.76-1.87
B (0.1121, 0.9535, 0.5000)  3 B 1.71-1.76
B (0.1350, 0.5314, 0.5000)  3 B 1.75-1.84
B (0.2132, 0.6860, 0.5000)  3 B 1.78-1.87

Entry 9:
Material: LiCeB
Method: DFT, PBE
State: relaxed

Output
N(E_F) = 1.260 states/eV/atom
ΔE_f = 109 meV per atom
total magnetization = 0.01 Bohr magnetons per cell

a = 8.3816 Å, b = 4.1286 Å, c = 7.2033 Å
α = 90.00°, β = 100.37°, γ = 90.00°
Closest atoms and distances in Å follow each position.
Space group C2/m (No. 12)
Unique sites:
Li (0.1446, 0.0000, 0.4146)  1 B 2.42
Ce (0.0928, 0.5000, 0.8472)  5 B 2.63-2.69, 1 Ce 2.91
B (0.0886, 0.0000, 0.0732)  1 B 1.66

Entry 10:
Material: LiCe2B9
Method: DFT, PBE
State: relaxed

Output
N(E_F) = 0.657 states/eV/atom
ΔE_f = 65 meV per atom
total magnetization = 2.69 Bohr magnetons per cell

a = 4.5473 Å, b = 4.5473 Å, c = 24.1088 Å
α = 90.00°, β = 90.00°, γ = 120.00°
Closest atoms and distances in Å follow each position.
Space group R-3m (No. 166, hexagonal axes)
Unique sites:
Li (0.0000, 0.0000, 0.0000)  18 B 2.47-2.74, 2 Ce 2.71
Ce (0.0000, 0.0000, 0.1125)  1 Li 2.71, 9 B 2.93
B (0.0000, 0.0000, 0.3659)  3 B 1.68
B (0.0000, 0.0000, 0.5000)  6 Ce 2.93, 2 B 3.23
B (0.0915, 0.5458, 0.9630)  3 B 1.65-1.68

Entry 11:
Material: LiCeB12
Method: DFT, PBE
State: relaxed

Output
N(E_F) = 0.366 states/eV/atom
ΔE_f = -303 meV per atom
total magnetization = 0.82 Bohr magnetons per cell

a = 4.1331 Å, b = 4.1331 Å, c = 8.2616 Å
α = 90.00°, β = 90.00°, γ = 90.00°
Closest atoms and distances in Å follow each position.
Space group P4/mmm (No. 123)
Unique sites:
Li (0.0000, 0.0000, 0.0000)  24 B 3.04
Ce (0.0000, 0.0000, 0.5000)  24 B 3.03-3.04
B (0.2008, 0.5000, 0.2508)  5 B 1.66-1.75
B (0.5000, 0.5000, 0.1006)  5 B 1.66-1.75
B (0.5000, 0.5000, 0.4003)  5 B 1.65-1.75

Entry 12:
Material: Li2CeB9
Method: DFT, PBE
State: relaxed

Output
N(E_F) = 0.416 states/eV/atom
ΔE_f = -36 meV per atom
total magnetization = 0.00 Bohr magnetons per cell

a = 4.5008 Å, b = 4.5008 Å, c = 19.8711 Å
α = 90.00°, β = 90.00°, γ = 120.00°
Closest atoms and distances in Å follow each position.
Space group R-3m (No. 166, hexagonal axes)
Unique sites:
Li (0.0000, 0.0000, 0.1390)  9 B 2.29-2.48
Ce (0.0000, 0.0000, 0.0000)  2 Li 2.76, 18 B 2.89-3.04
B (0.0000, 0.0000, 0.4127)  4 B 1.66-1.73
B (0.0000, 0.0000, 0.5000)  2 B 1.73
B (0.0888, 0.5444, 0.9103)  3 B 1.65-1.66

Entry 13:
Material: LiCeBN2
Method: DFT, PBE
State: relaxed

Output
N(E_F) = 0.930 states/eV/atom
formation energy without anion corrections = -878 meV/atom
total magnetization = 2.36 Bohr magnetons per cell

a = 5.4513 Å, b = 3.7543 Å, c = 5.9877 Å
α = 90.00°, β = 103.93°, γ = 90.00°
Closest atoms and distances in Å follow each position.
Space group P2/c (No. 13)
Unique sites:
Li (0.0000, 0.0219, 0.2500)  4 N 2.12-2.14, 2 B 2.34
Ce (0.5000, 0.2340, 0.7500)  6 N 2.57-2.64
B (0.0000, 0.5000, 0.0000)  2 N 1.37
N (0.2060, 0.2792, 0.0327)  1 B 1.37

Entry 14:
Material: Li3Ce2B3O9
Method: DFT, PBE
State: relaxed

Output
N(E_F) = 0.665 states/eV/atom
formation energy without anion corrections = -2676 meV/atom
total magnetization = 8.00 Bohr magnetons per cell

a = 5.8819 Å, b = 14.2755 Å, c = 9.4629 Å
α = 90.00°, β = 113.22°, γ = 90.00°
Closest atoms and distances in Å follow each position.
Space group P2_1/c (No. 14)
Unique sites:
Li (0.0485, 0.1134, 0.2095)  3 O 2.03-2.25
Li (0.4212, 0.2144, 0.2100)  4 O 1.94-2.10
Li (0.4267, 0.6655, 0.4986)  4 O 1.99-2.15
Ce (0.0578, 0.6631, 0.6916)  7 O 2.44-2.62
Ce (0.3468, 0.0033, 0.6589)  8 O 2.43-2.62
B (0.1135, 0.6774, 0.0186)  3 O 1.38-1.39
B (0.2641, 0.0151, 0.0135)  3 O 1.38-1.39
B (0.3855, 0.1635, 0.4710)  3 O 1.38-1.39
O (0.0414, 0.5957, 0.9315)  1 B 1.39
O (0.0956, 0.7368, 0.4480)  1 B 1.38
O (0.1553, 0.0059, 0.8546)  1 B 1.39
O (0.2114, 0.6693, 0.1781)  1 B 1.39
O (0.3102, 0.1031, 0.0789)  1 B 1.38
O (0.3159, 0.2417, 0.3772)  1 B 1.38
O (0.3251, 0.5642, 0.6066)  1 B 1.39
O (0.3402, 0.0746, 0.4062)  1 B 1.39
O (0.4958, 0.1694, 0.6300)  1 B 1.39

Entry 15:
Material: LiCe3B2O8
Method: DFT, PBE
State: relaxed

Output
N(E_F) = 1.312 states/eV/atom
formation energy without anion corrections = -2900 meV/atom
total magnetization = 3.00 Bohr magnetons per cell

a = 5.1751 Å, b = 5.1751 Å, c = 6.5462 Å
α = 90.00°, β = 90.00°, γ = 120.00°
Closest atoms and distances in Å follow each position.
Space group P-3m1 (No. 164)
Unique sites:
Li (0.0000, 0.0000, 0.0000)  6 O 2.06
Ce (0.0000, 0.0000, 0.5000)  6 O 2.54
Ce (0.3333, 0.6667, 0.1538)  1 O 2.21
B (0.3333, 0.6667, 0.7144)  4 O 1.46-1.50
O (0.1787, 0.3573, 0.8014)  1 B 1.50
O (0.3333, 0.6667, 0.4915)  1 B 1.46

Entry 16:
Material: LiCe4B3Rh12
Method: DFT, PBE
State: relaxed

Output
N(E_F) = 0.557 states/eV/atom
ΔE_f = -666 meV per atom
total magnetization = 0.23 Bohr magnetons per cell

a = 8.5103 Å, b = 8.5103 Å, c = 8.5103 Å
α = 90.00°, β = 90.00°, γ = 90.00°
Closest atoms and distances in Å follow each position.
Space group Im-3m (No. 229)
Unique sites:
Li (0.0000, 0.0000, 0.0000)  6 Rh 2.23
Ce (0.2500, 0.2500, 0.2500)  12 Rh 3.01
B (0.0000, 0.0000, 0.5000)  6 Rh 2.03-2.13
Rh (0.0000, 0.0000, 0.2620)  1 B 2.03, 1 Li 2.23
Rh (0.0000, 0.2500, 0.5000)  2 B 2.13

Entry 17:
Material: LiCeB2Rh5
Method: DFT, PBE
State: relaxed

Output
N(E_F) = 0.922 states/eV/atom
ΔE_f = -316 meV per atom
total magnetization = 0.00 Bohr magnetons per cell

a = 4.1350 Å, b = 4.1350 Å, c = 8.8022 Å
α = 90.00°, β = 90.00°, γ = 90.00°
Closest atoms and distances in Å follow each position.
Space group P4/mmm (No. 123)
Unique sites:
Li (0.0000, 0.0000, 0.0000)  2 B 2.20
Ce (0.5000, 0.5000, 0.5000)  12 Rh 2.90-2.92
B (0.0000, 0.0000, 0.2502)  5 Rh 2.07-2.20, 1 Li 2.20
Rh (0.0000, 0.0000, 0.5000)  2 B 2.20
Rh (0.0000, 0.5000, 0.2682)  2 B 2.07